Entry 1:
A plane-wave DFT calculation with PBE was carried out for Hf2Ti2Ga4Co after structural relaxation.

The structure belongs to space group I4/mmm (No. 139); the cell edges are 5.956, 5.956 and 8.517 Å and the angles 90.00°, 90.00° and 90.00°. The distinct sites, in fractional coordinates, are Hf at (0.000, 0.500, 0.250), Ti at (0.000, 0.000, 0.237), Ga at (0.223, 0.223, 0.000) and Co at (0.000, 0.000, 0.500).

For the calculated formation energy, the calculation gives -2.2 eV per formula unit. The crystal system is tetragonal. As for the electronic total energy: -114.27 eV per cell. The density of states at the Fermi level is 0.8910 states/eV per atom.


Entry 2:
A plane-wave DFT calculation with PBE was carried out for HfTiGaCo after structural relaxation.

The structure belongs to space group F-43m (No. 216); the cell edges are 6.354, 6.354 and 6.354 Å and the angles 90.00°, 90.00° and 90.00°. The distinct sites, in fractional coordinates, are Hf at (0.000, 0.000, 0.000), Ti at (0.000, 0.000, 0.500), Ga at (0.250, 0.250, 0.750) and Co at (0.250, 0.250, 0.250).

For the calculated formation energy, the calculation gives -1.3 eV per formula unit. The crystal system is cubic. As for the electronic total energy: -116.96 eV per cell. The density of states at the Fermi level is 0.4073 states/eV per atom.


Entry 3:
A plane-wave DFT calculation with PBE was carried out for HfGaCoW2 after structural relaxation.

The structure belongs to space group P4/mmm (No. 123); the cell edges are 4.780, 4.780 and 4.891 Å and the angles 90.00°, 90.00° and 90.00°. The distinct sites, in fractional coordinates, are Hf at (0.000, 0.000, 0.000), Ga at (0.000, 0.000, 0.500), Co at (0.500, 0.500, 0.500) and W at (0.000, 0.500, 0.000).

For the calculated formation energy, the calculation gives 12.5 eV per formula unit. The crystal system is tetragonal. As for the electronic total energy: -33.47 eV per cell. The density of states at the Fermi level is 1.9077 states/eV per atom.


Entry 4:
A plane-wave DFT calculation with PBE was carried out for HfZnGaCo after structural relaxation.

The structure belongs to space group F-43m (No. 216); the cell edges are 6.179, 6.179 and 6.179 Å and the angles 90.00°, 90.00° and 90.00°. The distinct sites, in fractional coordinates, are Hf at (0.000, 0.000, 0.000), Zn at (0.250, 0.250, 0.750), Ga at (0.000, 0.000, 0.500) and Co at (0.250, 0.250, 0.250).

For the calculated formation energy, the calculation gives -1.1 eV per formula unit. The crystal system is cubic. As for the electronic total energy: -89.68 eV per cell. The density of states at the Fermi level is 0.5022 states/eV per atom.


Entry 5:
A plane-wave DFT calculation with PBE was carried out for Hf2Zr2Ga4Co after structural relaxation.

The structure belongs to space group I4/mmm (No. 139); the cell edges are 6.102, 6.102 and 8.896 Å and the angles 90.00°, 90.00° and 90.00°. The distinct sites, in fractional coordinates, are Hf at (0.000, 0.500, 0.250), Zr at (0.000, 0.000, 0.234), Ga at (0.229, 0.229, 0.000) and Co at (0.000, 0.000, 0.500).

For the calculated formation energy, the calculation gives -1.9 eV per formula unit. The crystal system is tetragonal. As for the electronic total energy: -116.23 eV per cell. The density of states at the Fermi level is 0.6633 states/eV per atom.


Entry 6:
A plane-wave DFT calculation with PBE was carried out for GaCo2Hg after structural relaxation.

The structure belongs to space group I-42d (No. 122); the cell edges are 3.939, 3.939 and 17.494 Å and the angles 90.00°, 90.00° and 90.00°. The distinct sites, in fractional coordinates, are Ga at (0.000, 0.000, 0.000), Co at (0.149, 0.250, 0.125) and Hg at (0.000, 0.000, 0.500).

For the calculated formation energy, the calculation gives 1.9 eV per formula unit. The crystal system is tetragonal. As for the electronic total energy: -62.52 eV per cell. The density of states at the Fermi level is 1.2346 states/eV per atom.


Entry 7:
A plane-wave DFT calculation with PBE was carried out for GaCoHg3 after structural relaxation.

The structure belongs to space group Pm-3m (No. 221); the cell edges are 5.197, 5.197 and 5.197 Å and the angles 90.00°, 90.00° and 90.00°. The distinct sites, in fractional coordinates, are Ga at (0.000, 0.000, 0.000), Co at (0.500, 0.500, 0.500) and Hg at (0.000, 0.000, 0.500).

For the calculated formation energy, the calculation gives 4.4 eV per formula unit. The crystal system is cubic. As for the electronic total energy: -6.62 eV per cell. The density of states at the Fermi level is 2.1665 states/eV per atom.


Entry 8:
A plane-wave DFT calculation with PBE was carried out for Ga3CoHg after structural relaxation.

The structure belongs to space group Pm-3m (No. 221); the cell edges are 4.636, 4.636 and 4.636 Å and the angles 90.00°, 90.00° and 90.00°. The distinct sites, in fractional coordinates, are Ga at (0.000, 0.000, 0.500), Co at (0.000, 0.000, 0.000) and Hg at (0.500, 0.500, 0.500).

For the calculated formation energy, the calculation gives -0.5 eV per formula unit. The crystal system is cubic. As for the electronic total energy: -17.01 eV per cell. The density of states at the Fermi level is 0.2250 states/eV per atom.


Entry 9:
A plane-wave DFT calculation with PBE was carried out for GaCo2Hg2 after structural relaxation.

The structure belongs to space group P4/mbm (No. 127); the cell edges are 6.158, 6.158 and 4.236 Å and the angles 90.00°, 90.00° and 90.00°. The distinct sites, in fractional coordinates, are Ga at (0.000, 0.000, 0.000), Co at (0.134, 0.366, 0.000) and Hg at (0.170, 0.670, 0.500).

For the calculated formation energy, the calculation gives 1.0 eV per formula unit. The crystal system is tetragonal. As for the electronic total energy: -33.78 eV per cell. The density of states at the Fermi level is 0.4319 states/eV per atom.


Entry 10:
A plane-wave DFT calculation with PBE was carried out for Ga2Co2Hg after structural relaxation.

The structure belongs to space group I4/mmm (No. 139); the cell edges are 3.991, 3.991 and 9.921 Å and the angles 90.00°, 90.00° and 90.00°. The distinct sites, in fractional coordinates, are Ga at (0.000, 0.000, 0.125), Co at (0.000, 0.500, 0.250) and Hg at (0.000, 0.000, 0.500).

For the calculated formation energy, the calculation gives 1.1 eV per formula unit. The crystal system is tetragonal. As for the electronic total energy: -39.00 eV per cell. The density of states at the Fermi level is 0.1931 states/eV per atom.


Entry 11:
A plane-wave DFT calculation with PBE was carried out for Ga2Co2Hg after structural relaxation.

The structure belongs to space group P4/mbm (No. 127); the cell edges are 7.125, 7.125 and 2.796 Å and the angles 90.00°, 90.00° and 90.00°. The distinct sites, in fractional coordinates, are Ga at (0.136, 0.364, 0.000), Co at (0.157, 0.657, 0.500) and Hg at (0.000, 0.000, 0.000).

For the calculated formation energy, the calculation gives 0.2 eV per formula unit. The crystal system is tetragonal. As for the electronic total energy: -40.80 eV per cell. The density of states at the Fermi level is 0.5578 states/eV per atom.


Entry 12:
A plane-wave DFT calculation with PBE was carried out for Ga2Co2Hg after structural relaxation.

The structure belongs to space group I4/mmm (No. 139); the cell edges are 3.690, 3.690 and 11.196 Å and the angles 90.00°, 90.00° and 90.00°. The distinct sites, in fractional coordinates, are Ga at (0.000, 0.500, 0.250), Co at (0.000, 0.000, 0.104) and Hg at (0.000, 0.000, 0.500).

For the calculated formation energy, the calculation gives 0.7 eV per formula unit. The crystal system is tetragonal. As for the electronic total energy: -39.79 eV per cell. The density of states at the Fermi level is 1.1243 states/eV per atom.


Entry 13:
A plane-wave DFT calculation with PBE was carried out for GaCoHg3 after structural relaxation.

The structure belongs to space group Pm-3m (No. 221); the cell edges are 5.036, 5.036 and 5.036 Å and the angles 90.00°, 90.00° and 90.00°. The distinct sites, in fractional coordinates, are Ga at (0.000, 0.000, 0.000), Co at (0.500, 0.500, 0.500) and Hg at (0.000, 0.500, 0.500).

For the calculated formation energy, the calculation gives 1.9 eV per formula unit. The crystal system is cubic. As for the electronic total energy: -9.10 eV per cell. The density of states at the Fermi level is 0.7294 states/eV per atom.


Entry 14:
A plane-wave DFT calculation with PBE was carried out for GaCo2Hg after structural relaxation.

The structure belongs to space group Fm-3m (No. 225); the cell edges are 6.052, 6.052 and 6.052 Å and the angles 90.00°, 90.00° and 90.00°. The distinct sites, in fractional coordinates, are Ga at (0.000, 0.000, 0.000), Co at (0.250, 0.250, 0.250) and Hg at (0.000, 0.000, 0.500).

For the calculated formation energy, the calculation gives 0.9 eV per formula unit. The crystal system is cubic. As for the electronic total energy: -66.47 eV per cell. The density of states at the Fermi level is 0.8806 states/eV per atom.


Entry 15:
A plane-wave DFT calculation with PBE was carried out for Ga2Co2Hg after structural relaxation.

The structure belongs to space group P4/mbm (No. 127); the cell edges are 7.032, 7.032 and 2.891 Å and the angles 90.00°, 90.00° and 90.00°. The distinct sites, in fractional coordinates, are Ga at (0.150, 0.350, 0.000), Co at (0.143, 0.643, 0.500) and Hg at (0.000, 0.000, 0.500).

For the calculated formation energy, the calculation gives -0.1 eV per formula unit. The crystal system is tetragonal. As for the electronic total energy: -41.28 eV per cell. The density of states at the Fermi level is 0.7435 states/eV per atom.


Entry 16:
A plane-wave DFT calculation with PBE was carried out for GaCo3Hg after structural relaxation.

The structure belongs to space group Pm-3m (No. 221); the cell edges are 4.380, 4.380 and 4.380 Å and the angles 90.00°, 90.00° and 90.00°. The distinct sites, in fractional coordinates, are Ga at (0.000, 0.000, 0.000), Co at (0.000, 0.000, 0.500) and Hg at (0.500, 0.500, 0.500).

For the calculated formation energy, the calculation gives 4.5 eV per formula unit. The crystal system is cubic. As for the electronic total energy: -20.12 eV per cell. The density of states at the Fermi level is 1.4288 states/eV per atom.


Entry 17:
A plane-wave DFT calculation with PBE was carried out for In2GaCoHg after structural relaxation.

The structure belongs to space group P4/mmm (No. 123); the cell edges are 5.015, 5.015 and 4.620 Å and the angles 90.00°, 90.00° and 90.00°. The distinct sites, in fractional coordinates, are In at (0.000, 0.500, 0.000), Ga at (0.000, 0.000, 0.500), Co at (0.000, 0.000, 0.000) and Hg at (0.500, 0.500, 0.500).

For the calculated formation energy, the calculation gives -0.2 eV per formula unit. The crystal system is tetragonal. As for the electronic total energy: -16.12 eV per cell. The density of states at the Fermi level is 0.3597 states/eV per atom.


Entry 18:
A plane-wave DFT calculation with PBE was carried out for InGa2CoHg after structural relaxation.

The structure belongs to space group P4/mmm (No. 123); the cell edges are 4.628, 4.628 and 5.033 Å and the angles 90.00°, 90.00° and 90.00°. The distinct sites, in fractional coordinates, are In at (0.000, 0.000, 0.000), Ga at (0.000, 0.500, 0.500), Co at (0.000, 0.000, 0.500) and Hg at (0.500, 0.500, 0.000).

For the calculated formation energy, the calculation gives -0.4 eV per formula unit. The crystal system is tetragonal. As for the electronic total energy: -16.57 eV per cell. The density of states at the Fermi level is 0.3361 states/eV per atom.


Entry 19:
A plane-wave DFT calculation with PBE was carried out for KGa2CoHg after structural relaxation.

The structure belongs to space group P4/mmm (No. 123); the cell edges are 4.657, 4.657 and 5.196 Å and the angles 90.00°, 90.00° and 90.00°. The distinct sites, in fractional coordinates, are K at (0.000, 0.000, 0.000), Ga at (0.000, 0.500, 0.500), Co at (0.500, 0.500, 0.500) and Hg at (0.500, 0.500, 0.000).

For the calculated formation energy, the calculation gives -0.7 eV per formula unit. The crystal system is tetragonal. As for the electronic total energy: -15.27 eV per cell. The density of states at the Fermi level is 0.3082 states/eV per atom.


Entry 20:
A plane-wave DFT calculation with PBE was carried out for KGaCoHg2 after structural relaxation.

The structure belongs to space group P4/mmm (No. 123); the cell edges are 5.179, 5.179 and 4.620 Å and the angles 90.00°, 90.00° and 90.00°. The distinct sites, in fractional coordinates, are K at (0.000, 0.000, 0.000), Ga at (0.500, 0.500, 0.000), Co at (0.500, 0.500, 0.500) and Hg at (0.000, 0.500, 0.500).

For the calculated formation energy, the calculation gives -0.4 eV per formula unit. The crystal system is tetragonal. As for the electronic total energy: -12.20 eV per cell. The density of states at the Fermi level is 0.3716 states/eV per atom.


So what do the calculations give for total magnetization? Going down the list: 0.00; 7.97; 0.13; 0.00; 0.00; 11.69; 2.23; 0.00; 0.00; 0.00; 0.00; 1.63; 0.52; 0.00; 0.00; 3.92; 0.00; 0.00; 0.00; 0.00 Bohr magnetons per cell.